[1]
The following is a GGA-PBE calculation of an optimized crystal structure of MgInSi2I, from Alexandria via LeMat-Bulk.

Cell: 5.389 5.389 6.011 Å, 90.00 90.00 90.00°
Space group P4/mmm (No. 123)
One atom of each set of equivalent atoms:
Mg: 0.000 0.000 0.000 (multiplicity 1)
In: 0.500 0.500 0.000 (multiplicity 1)
Si: 0.000 0.500 0.500 (multiplicity 2)
I: 0.500 0.500 0.500 (multiplicity 1)

Values from the calculation:
Energy relative to the elements, uncorrected: 1.187 eV/atom
DOS at the Fermi energy: 2.4 states/eV/f.u.

---

[2]
The following is a GGA-PBE calculation of an optimized crystal structure of SrMg2InI, from Alexandria via LeMat-Bulk.

Cell: 6.660 6.660 6.679 Å, 90.00 90.00 90.00°
Space group P4/mmm (No. 123)
One atom of each set of equivalent atoms:
Sr: 0.000 0.000 0.000 (multiplicity 1)
Mg: 0.000 0.500 0.000 (multiplicity 2)
In: 0.000 0.000 0.500 (multiplicity 1)
I: 0.500 0.500 0.500 (multiplicity 1)

Values from the calculation:
Energy relative to the elements, uncorrected: 0.545 eV/atom
Relative energy among the computed polymorphs: 2.87 eV per formula unit
DOS at the Fermi energy: 2.5 states/eV/f.u.

---

[3]
The following is a GGA-PBE calculation of an optimized crystal structure of SrMg2InI, from Alexandria via LeMat-Bulk.

Cell: 5.434 5.434 7.486 Å, 90.00 90.00 90.00°
Space group P4/mmm (No. 123)
One atom of each set of equivalent atoms:
Sr: 0.000 0.000 0.000 (multiplicity 1)
Mg: 0.000 0.500 0.500 (multiplicity 2)
In: 0.500 0.500 0.500 (multiplicity 1)
I: 0.500 0.500 0.000 (multiplicity 1)

Values from the calculation:
Energy relative to the elements, uncorrected: -0.028 eV/atom
Relative energy among the computed polymorphs: 0.00 eV per formula unit
DOS at the Fermi energy: 2.2 states/eV/f.u.

---

[4]
The following is a GGA-PBE calculation of an optimized crystal structure of MgInTeI, from Alexandria via LeMat-Bulk.

Cell: 4.5766 4.5766 25.4222 Å, 90.00 90.00 120.00°
Space group R3m (No. 160, hexagonal axes)
One atom of each set of equivalent atoms:
Mg: 0.0000 0.0000 0.0000 (multiplicity 3)
In: 0.0000 0.0000 0.8609 (multiplicity 3)
Te: 0.0000 0.0000 0.6261 (multiplicity 3)
I: 0.0000 0.0000 0.1102 (multiplicity 3)

Values from the calculation:
Energy relative to the elements, uncorrected: -0.613 eV/atom
DOS at the Fermi energy: 0.0 states/eV/f.u.

---

[5]
The following is a GGA-PBE calculation of an optimized crystal structure of MgInW2I, from Alexandria via LeMat-Bulk.

Cell: 5.308 5.308 5.821 Å, 90.00 90.00 90.00°
Space group P4/mmm (No. 123)
One atom of each set of equivalent atoms:
Mg: 0.000 0.000 0.000 (multiplicity 1)
In: 0.500 0.500 0.500 (multiplicity 1)
W: 0.000 0.500 0.500 (multiplicity 2)
I: 0.500 0.500 0.000 (multiplicity 1)

Values from the calculation:
Energy relative to the elements, uncorrected: 2.343 eV/atom
DOS at the Fermi energy: 3.3 states/eV/f.u.

---

[6]
The following is a GGA-PBE calculation of an optimized crystal structure of YMgInI6, from Alexandria via LeMat-Bulk.

Cell: 7.7153 7.7153 15.3151 Å, 90.00 90.00 120.00°
Space group P-31c (No. 163)
One atom of each set of equivalent atoms:
Y: 0.3333 0.6667 0.2500 (multiplicity 2)
Mg: 0.3333 0.6667 0.7500 (multiplicity 2)
In: 0.0000 0.0000 0.0000 (multiplicity 2)
I: 0.0089 0.3700 0.6373 (multiplicity 12)

Values from the calculation:
Energy relative to the elements, uncorrected: -1.058 eV/atom
DOS at the Fermi energy: 0.0 states/eV/f.u.

---

[7]
The following is a GGA-PBE calculation of an optimized crystal structure of MnIn3I6, from Alexandria via LeMat-Bulk.

Cell: 7.800 8.530 13.857 Å, 90.00 123.85 90.00°
Space group P2_1/c (No. 14)
One atom of each set of equivalent atoms:
Mn: 0.000 0.000 0.000 (multiplicity 2)
In: 0.293 0.104 0.750 (multiplicity 4)
In: 0.500 0.000 0.500 (multiplicity 2)
I: 0.126 0.019 0.237 (multiplicity 4)
I: 0.221 0.706 0.050 (multiplicity 4)
I: 0.355 0.176 0.049 (multiplicity 4)

Values from the calculation:
Energy relative to the elements, uncorrected: -0.415 eV/atom
Relative energy among the computed polymorphs: 0.00 eV per formula unit
DOS at the Fermi energy: 2.9 states/eV/f.u.

---

[8]
The following is a GGA-PBE calculation of an optimized crystal structure of Mn2InI4, from Alexandria via LeMat-Bulk.

Cell: 9.911 9.911 5.478 Å, 90.00 90.00 90.00°
Space group I4/m (No. 87)
One atom of each set of equivalent atoms:
Mn: 0.000 0.500 0.250 (multiplicity 4)
In: 0.000 0.000 0.000 (multiplicity 2)
I: 0.087 0.723 0.500 (multiplicity 8)

Values from the calculation:
Energy relative to the elements, uncorrected: -0.240 eV/atom
DOS at the Fermi energy: 1.0 states/eV/f.u.